# ZrReWSe2

An optimized crystal structure of ZrReWSe2 (PBE, the Alexandria database).

Output
Total DFT energy (no corrections) (eV per atom): -7.185
SG: P4/mmm, No. 123
Density (Mg/m³): 9.08

Unit cell a=4.8086 b=4.8086 c=4.8970 alpha=90.00 beta=90.00 gamma=90.00
Fractional positions:
Zr  0.0000  0.0000  0.0000
Re  0.5000  0.5000  0.0000
W  0.5000  0.5000  0.5000
Se  0.0000  0.5000  0.5000
Se  0.5000  0.0000  0.5000



# YReSe

An optimized crystal structure of YReSe (PBE, the Alexandria database).

Output
Total DFT energy (no corrections) (eV per atom): -7.164
SG: F-43m, No. 216
E above lowest polymorph (eV per atom): 0.470
Density (Mg/m³): 9.05

Unit cell a=4.5129 b=4.5129 c=4.5129 alpha=60.00 beta=60.00 gamma=60.00
Fractional positions:
Y  0.0000  0.0000  0.0000
Re  0.5000  0.5000  0.5000
Se  0.7500  0.7500  0.7500



# YReSe2

An optimized crystal structure of YReSe2 (PBE, the Alexandria database).

Output
Total DFT energy (no corrections) (eV per atom): -7.018
SG: R-3m, No. 166
E above lowest polymorph (eV per atom): 0.000
Density (Mg/m³): 9.13

Unit cell a=5.8491 b=5.8491 c=5.8491 alpha=41.31 beta=41.31 gamma=41.31
Fractional positions:
Y  0.0000  0.0000  0.0000
Re  0.5000  0.5000  0.5000
Se  0.2317  0.2317  0.2317
Se  0.7683  0.7683  0.7683



# YReSe2

An optimized crystal structure of YReSe2 (PBE, the Alexandria database).

Output
Total DFT energy (no corrections) (eV per atom): -6.725
SG: I-42d, No. 122
E above lowest polymorph (eV per atom): 0.293
Density (Mg/m³): 7.20

Unit cell a=8.0966 b=8.0966 c=8.0966 alpha=142.01 beta=142.01 gamma=54.82
Fractional positions:
Y  0.0000  0.0000  0.0000
Y  0.7500  0.2500  0.5000
Re  0.2500  0.7500  0.5000
Re  0.5000  0.5000  0.0000
Se  0.1859  0.6250  0.0609
Se  0.3750  0.4359  0.5609
Se  0.5641  0.1250  0.9391
Se  0.8750  0.8141  0.4391



no.,uncorrected formation energy (eV per atom)
1,0.999
2,0.302
3,-0.548
4,-0.254